This record from Alexandria describes a relaxed structure of PmTl2WO8. The functional is PBE+U.

Size of the total moment, μB/f.u.: 1.07
Density of states at the Fermi level, states/eV/cell: 6.188
Mass density, g cm⁻³: 8.1
Calculated total energy, eV per cell: -75.0

extended XYZ file:
```
12
Lattice="5.086 -0.047 -0.003 -0.022 5.084 -0.005 0.004 0.008 6.896" Properties=species:S:1:pos:R:3 pbc="T T T"
Tl 2.533 2.520 1.666
Tl 2.535 2.524 5.221
Pm 0.002 0.004 3.448
O 0.896 4.157 1.430
O 1.597 1.574 3.445
O 4.170 0.883 1.432
O 3.471 3.470 3.442
O 0.898 4.161 5.455
O 1.424 1.412 6.894
O 4.172 0.887 5.457
O 3.644 3.632 -0.006
W 0.000 0.000 0.000
```